Record 1
This record from the Alexandria database describes a relaxed Ac2CePrBi5 crystal. The functional is PBE.

CIF file:
```
data_Ac2CePrBi5
_chemical_formula_sum 'Ac2 Ce1 Pr1 Bi5'
_cell_length_a 5.643
_cell_length_b 5.643
_cell_length_c 12.304
_cell_angle_alpha 90.00
_cell_angle_beta 90.00
_cell_angle_gamma 90.00
_symmetry_space_group_name_H-M 'P 4/m m m'
_symmetry_Int_Tables_number 123
_symmetry_space_group_name_Hall '-P 4 2'
loop_
_atom_site_label
_atom_site_type_symbol
_atom_site_fract_x
_atom_site_fract_y
_atom_site_fract_z
Ac1 Ac 0.000 0.000 0.219
Ce1 Ce 0.500 0.500 0.500
Pr1 Pr 0.500 0.500 0.000
Bi1 Bi 0.000 0.000 0.500
Bi2 Bi 0.000 0.500 0.000
Bi3 Bi 0.500 0.500 0.256
```

***

Record 2
This record from the Alexandria database describes a relaxed La2CoSnBi crystal. The functional is PBE.

CIF file:
```
data_La2CoSnBi
_chemical_formula_sum 'La2 Co1 Sn1 Bi1'
_cell_length_a 5.388
_cell_length_b 5.388
_cell_length_c 4.865
_cell_angle_alpha 90.00
_cell_angle_beta 90.00
_cell_angle_gamma 90.00
_symmetry_space_group_name_H-M 'P 4/m m m'
_symmetry_Int_Tables_number 123
_symmetry_space_group_name_Hall '-P 4 2'
loop_
_atom_site_label
_atom_site_type_symbol
_atom_site_fract_x
_atom_site_fract_y
_atom_site_fract_z
La1 La 0.000 0.500 0.000
Co1 Co 0.000 0.000 0.000
Sn1 Sn 0.000 0.000 0.500
Bi1 Bi 0.500 0.500 0.500
```

***

Record 3
# Ta2Mo2W PBE relaxed
data_Ta2Mo2W
_chemical_formula_sum 'Ta4 Mo4 W2'
_cell_length_a 3.183
_cell_length_b 17.521
_cell_length_c 3.152
_cell_angle_alpha 90.00
_cell_angle_beta 90.00
_cell_angle_gamma 90.00
_symmetry_space_group_name_H-M 'C m m m'
_symmetry_Int_Tables_number 65
_symmetry_space_group_name_Hall '-C 2 2'
loop_
_atom_site_label
_atom_site_type_symbol
_atom_site_fract_x
_atom_site_fract_y
_atom_site_fract_z
Ta1 Ta 0.000 0.183 0.000
Mo1 Mo 0.000 0.410 0.500
W1 W 0.000 0.000 0.000
# - Excess energy over the best structure of this formula in the dataset: 0.00 eV per formula unit

***

E_tot values, unit eV/f.u., following the record order: -40.3 -27.9 -56.9.
Formation energy values, unit kJ per mole of atoms, following the record order: -21.0 -59.3 27.7.